Record 1
Here is Sm2Tm2Mg after structural relaxation from the Alexandria database. Energies are from PBE.

Calculated values
For the magnetization, the calculation gives 0.00 Bohr magnetons per cell. The calculation puts the volume at 166.1 Å³ per cell. The calculation puts the formation energy at 355 meV/atom. As for the space-group type: I4/mmm, No. 139. The polymorph energy (0 for the lowest one) comes out at 172 kJ/mol of formula units.

Unit cell a=4.351 b=4.351 c=9.297 alpha=103.53 beta=103.53 gamma=90.00
Atoms (fractional coordinates):
Sm 0.407 0.407 0.813
Sm 0.593 0.593 0.187
Tm 0.750 0.250 0.500
Tm 0.250 0.750 0.500
Mg 0.000 0.000 0.000

***

Record 2
Here is Sm2Tm5Mg after structural relaxation from the Alexandria database. Energies are from PBE.

Calculated values
For the magnetization, the calculation gives 0.00 Bohr magnetons per cell. The calculation puts the volume at 241.0 Å³ per cell. The calculation puts the formation energy at 24 meV/atom. As for the space-group type: I4/mmm, No. 139.

Unit cell a=6.946 b=6.946 c=7.005 alpha=119.73 beta=119.73 gamma=89.99
Atoms (fractional coordinates):
Sm 0.222 0.722 0.444
Sm 0.722 0.222 0.444
Tm 0.722 0.222 0.944
Tm 0.222 0.222 0.944
Tm 0.722 0.722 0.944
Tm 0.222 0.722 0.944
Tm 0.722 0.722 0.444
Mg 0.222 0.222 0.444

***

Record 3
Here is Sm8Tm2Mg after structural relaxation from the Alexandria database. Energies are from PBE.

Calculated values
For the magnetization, the calculation gives 0.00 Bohr magnetons per cell. The calculation puts the volume at 370.4 Å³ per cell. The calculation puts the formation energy at 152 meV/atom. As for the space-group type: Cm, No. 8. The polymorph energy (0 for the lowest one) comes out at 0 kJ/mol of formula units.

Unit cell a=5.447 b=10.341 c=8.364 alpha=51.82 beta=89.95 gamma=89.92
Atoms (fractional coordinates):
Sm 0.501 0.695 0.276
Sm 0.501 0.971 0.724
Sm 0.000 0.660 0.000
Sm 0.000 0.744 0.506
Sm 0.000 0.250 0.494
Sm 0.000 0.333 0.000
Sm 0.499 0.023 0.276
Sm 0.499 0.299 0.724
Tm 0.500 0.376 0.241
Tm 0.500 0.617 0.759
Mg 0.000 0.996 0.000

***

Record 4
Here is SmTm2Mg6 after structural relaxation from the Alexandria database. Energies are from PBE.

Calculated values
For the magnetization, the calculation gives 0.00 Bohr magnetons per cell. The calculation puts the volume at 233.3 Å³ per cell. The calculation puts the formation energy at -66 meV/atom. As for the space-group type: P6/mmm, No. 191.

Unit cell a=3.278 b=9.065 c=9.065 alpha=120.00 beta=90.00 gamma=90.00
Atoms (fractional coordinates):
Sm 0.000 0.000 0.000
Tm 0.000 0.333 0.667
Tm 0.000 0.667 0.333
Mg 0.500 0.337 0.337
Mg 0.500 0.663 0.663
Mg 0.500 0.000 0.663
Mg 0.500 0.663 0.000
Mg 0.500 0.337 0.000
Mg 0.500 0.000 0.337

***

Record 5
Here is SmTm6Mg after structural relaxation from the Alexandria database. Energies are from PBE.

Calculated values
For the magnetization, the calculation gives 0.00 Bohr magnetons per cell. The calculation puts the volume at 242.7 Å³ per cell. The calculation puts the formation energy at 143 meV/atom. As for the space-group type: R-3, No. 148. The polymorph energy (0 for the lowest one) comes out at 79 kJ/mol of formula units.

Unit cell a=8.447 b=9.263 c=6.270 alpha=42.29 beta=47.63 gamma=56.70
Atoms (fractional coordinates):
Sm 0.500 0.500 0.500
Tm 0.954 0.528 0.760
Tm 0.758 0.955 0.816
Tm 0.528 0.242 0.275
Tm 0.242 0.045 0.184
Tm 0.046 0.472 0.240
Tm 0.472 0.758 0.725
Mg 0.000 0.000 0.000

***

Record 6
Here is Sm2TmMg2 after structural relaxation from the Alexandria database. Energies are from PBE.

Calculated values
For the magnetization, the calculation gives 0.00 Bohr magnetons per cell. The calculation puts the volume at 288.4 Å³ per cell. The calculation puts the formation energy at -60 meV/atom. As for the space-group type: Cmcm, No. 63. The polymorph energy (0 for the lowest one) comes out at 0 kJ/mol of formula units.

Unit cell a=3.794 b=5.428 c=14.132 alpha=90.00 beta=97.74 gamma=90.00
Atoms (fractional coordinates):
Sm 0.045 0.750 0.090
Sm 0.955 0.250 0.910
Sm 0.236 0.750 0.474
Sm 0.764 0.250 0.526
Tm 0.849 0.750 0.699
Tm 0.151 0.250 0.301
Mg 0.640 0.750 0.280
Mg 0.360 0.250 0.720
Mg 0.445 0.750 0.890
Mg 0.555 0.250 0.110

***

Record 7
Here is Sm2Tm3Mg2 after structural relaxation from the Alexandria database. Energies are from PBE.

Calculated values
For the magnetization, the calculation gives 0.23 Bohr magnetons per cell. The calculation puts the volume at 206.8 Å³ per cell. The calculation puts the formation energy at 41 meV/atom. As for the space-group type: Cmmm, No. 65.

Unit cell a=3.495 b=3.465 c=17.162 alpha=90.00 beta=95.84 gamma=90.00
Last column: magnetic moment on the atom in μB.
Atoms (fractional coordinates):
Sm 0.295 0.500 0.591  0.06
Sm 0.705 0.500 0.409  0.06
Tm 0.429 0.500 0.858  0.00
Tm 0.571 0.500 0.142  0.00
Tm 0.000 0.000 0.000  0.00
Mg 0.136 0.000 0.273  0.00
Mg 0.864 0.000 0.727  0.00

***

Record 8
Here is Sm2Tm3Mg after structural relaxation from the Alexandria database. Energies are from PBE.

Calculated values
For the magnetization, the calculation gives 0.00 Bohr magnetons per cell. The calculation puts the volume at 192.2 Å³ per cell. The calculation puts the formation energy at 411 meV/atom. As for the space-group type: Immm, No. 71. The polymorph energy (0 for the lowest one) comes out at 159 kJ/mol of formula units.

Unit cell a=3.360 b=6.081 c=10.027 alpha=107.65 beta=99.65 gamma=90.00
Atoms (fractional coordinates):
Sm 0.656 0.656 0.311
Sm 0.344 0.344 0.689
Tm 0.000 0.500 0.000
Tm 0.831 0.831 0.663
Tm 0.169 0.169 0.337
Mg 0.000 0.000 0.000

***

Record 9
Here is Sm6Tm3Mg after structural relaxation from the Alexandria database. Energies are from PBE.

Calculated values
For the magnetization, the calculation gives 0.00 Bohr magnetons per cell. The calculation puts the volume at 633.8 Å³ per cell. The calculation puts the formation energy at 16 meV/atom. As for the space-group type: P2_1/m, No. 11.

Unit cell a=5.039 b=11.172 c=11.258 alpha=90.61 beta=90.00 gamma=90.00
Atoms (fractional coordinates):
Sm 0.250 0.449 0.102
Sm 0.750 0.551 0.898
Sm 0.250 0.150 0.198
Sm 0.750 0.850 0.802
Sm 0.250 0.652 0.700
Sm 0.750 0.348 0.300
Sm 0.250 0.250 0.500
Sm 0.750 0.750 0.500
Sm 0.250 0.849 0.304
Sm 0.750 0.151 0.696
Sm 0.250 0.049 0.898
Sm 0.750 0.951 0.102
Tm 0.250 0.550 0.400
Tm 0.750 0.450 0.600
Tm 0.250 0.350 0.797
Tm 0.750 0.650 0.203
Tm 0.250 0.751 0.003
Tm 0.750 0.249 0.997
Mg 0.250 0.953 0.595
Mg 0.750 0.047 0.405

***

Record 10
Here is SmTm2Mg after structural relaxation from the Alexandria database. Energies are from PBE.

Calculated values
For the magnetization, the calculation gives 0.00 Bohr magnetons per cell. The calculation puts the volume at 235.3 Å³ per cell. The calculation puts the formation energy at -26 meV/atom. As for the space-group type: I4/mmm, No. 139. The polymorph energy (0 for the lowest one) comes out at 0 kJ/mol of formula units.

Unit cell a=5.035 b=5.035 c=9.939 alpha=104.66 beta=104.66 gamma=90.02
Atoms (fractional coordinates):
Sm 0.372 0.372 0.244
Sm 0.628 0.628 0.756
Tm 0.868 0.868 0.235
Tm 0.132 0.132 0.765
Tm 0.500 0.000 0.500
Tm 0.000 0.500 0.500
Mg 0.250 0.750 0.000
Mg 0.750 0.250 0.000

***

Record 11
Here is SmTmMg4 after structural relaxation from the Alexandria database. Energies are from PBE.

Calculated values
For the magnetization, the calculation gives 0.00 Bohr magnetons per cell. The calculation puts the volume at 156.7 Å³ per cell. The calculation puts the formation energy at -72 meV/atom. As for the space-group type: Pmmm, No. 47. The polymorph energy (0 for the lowest one) comes out at 0 kJ/mol of formula units.

Unit cell a=3.283 b=6.196 c=9.088 alpha=90.01 beta=89.99 gamma=122.06
Atoms (fractional coordinates):
Sm 0.501 0.497 0.998
Tm 0.001 0.997 0.498
Mg 0.502 0.997 0.170
Mg 0.501 0.997 0.826
Mg 0.002 0.497 0.661
Mg 0.000 0.497 0.336

***

Record 12
Here is Sm2TmMg8 after structural relaxation from the Alexandria database. Energies are from PBE.

Calculated values
For the magnetization, the calculation gives 0.00 Bohr magnetons per cell. The calculation puts the volume at 292.5 Å³ per cell. The calculation puts the formation energy at 46 meV/atom. As for the space-group type: Immm, No. 71.

Unit cell a=5.295 b=7.759 c=8.530 alpha=117.05 beta=108.08 gamma=90.00
Atoms (fractional coordinates):
Sm 0.211 0.711 0.422
Sm 0.789 0.289 0.578
Tm 0.500 0.000 0.000
Mg 0.632 0.825 0.265
Mg 0.368 0.561 0.735
Mg 0.152 0.152 0.303
Mg 0.000 0.289 0.000
Mg 0.848 0.848 0.697
Mg 0.632 0.439 0.265
Mg 0.368 0.175 0.735
Mg 0.000 0.711 0.000